Here is a geometry-optimized Na2Tl3RuO6 structure from Alexandria via LeMat-Bulk. Energies are from PBE.

POSCAR file:
```
Na2Tl3RuO6
1.0
2.9711 -5.2691 0.0000
2.9711 5.2691 0.0000
-1.8295 0.0000 5.8079
Na Tl Ru O
2 3 1 6
direct
0.1667 0.8333 0.0000
0.8333 0.1667 0.0000
0.0000 0.0000 0.5000
0.3337 0.6663 0.5000
0.6663 0.3337 0.5000
0.5000 0.5000 0.0000
0.1701 0.4283 0.8092
0.3024 0.3024 0.2155
0.4283 0.1701 0.8092
0.5717 0.8299 0.1908
0.6976 0.6976 0.7845
0.8299 0.5717 0.1908
```

Results
formation energy from raw total energies = -958.4 meV/atom
symmetry = C2/m (12)
energy = -60.26 eV for the cell shown
total magnetization = 0.070 μB per atom